Record 1
Density functional theory data (PBE-GGA) for NaTb2Pu3Se6 after structural relaxation.

Output
ΔE_f (raw)	-1.59	eV/atom
magnetic moment	5.91	Bohr magnetons per cell
Fermi-level density of states	34.99	states/eV/f.u.

abc: 4.134 8.299 9.259
angles: 102.39 102.90 90.00
Atoms (fractional coordinates):
Se 0.668 0.088 0.335
Se 0.003 0.253 0.006
Se 0.332 0.912 0.665
Se 0.332 0.416 0.665
Se 0.668 0.584 0.335
Pu 0.835 0.165 0.669
Na 0.500 0.000 0.000
Se 0.997 0.747 0.994
Tb 0.833 0.664 0.666
Pu 0.500 0.500 0.000
Tb 0.167 0.336 0.334
Pu 0.165 0.835 0.331


Record 2
Density functional theory data (PBE-GGA) for Na4TbPu3Se8 after structural relaxation.

Output
ΔE_f (raw)	-1.48	eV/atom
magnetic moment	15.00	Bohr magnetons per cell
Fermi-level density of states	32.60	states/eV/f.u.

abc: 8.406 8.478 8.410
angles: 119.77 119.99 90.00
Atoms (fractional coordinates):
Pu 0.000 0.500 0.500
Na 0.000 0.000 0.500
Se 0.257 0.272 0.514
Tb 0.000 0.500 0.000
Se 0.254 0.269 0.011
Pu 0.500 0.500 0.000
Se 0.746 0.731 0.989
Na 0.500 0.000 0.500
Se 0.743 0.728 0.486
Se 0.243 0.731 0.486
Na 0.000 0.000 0.000
Se 0.243 0.731 0.989
Na 0.500 0.000 0.000
Se 0.757 0.269 0.514
Pu 0.500 0.500 0.500
Se 0.757 0.269 0.011


Record 3
Density functional theory data (PBE-GGA) for Na3Tb3PuSe8 after structural relaxation.

Output
ΔE_f (raw)	-1.59	eV/atom
magnetic moment	4.00	Bohr magnetons per cell
Fermi-level density of states	12.35	states/eV/f.u.

abc: 8.315 8.315 8.518
angles: 119.23 90.00 120.00
Atoms (fractional coordinates):
Se 0.746 0.986 0.725
Se 0.761 0.014 0.275
Se 0.239 0.986 0.725
Se 0.256 0.513 0.269
Se 0.239 0.479 0.725
Se 0.761 0.521 0.275
Na 0.500 0.500 0.000
Se 0.254 0.014 0.275
Na 0.000 0.000 0.000
Na 0.000 0.500 0.000
Tb 0.500 0.500 0.500
Tb 0.500 0.000 0.500
Tb 0.000 0.500 0.500
Se 0.744 0.487 0.731
Pu 0.000 0.000 0.500